[1]
Here is a geometry-optimized AcSmZnGa structure from the Alexandria database. Energies are from GGA-PBE.

Results
Total DFT energy (no corrections) in eV per atom: -3.65
Space-group type: F-43m (216)

Cell lengths 5.363, 5.363, 5.363 Å; angles 60.00, 60.00, 60.00 degrees
Sites, in units of the cell vectors:
Zn: 0.750 0.750 0.750
Ac: 0.000 0.000 0.000
Ga: 0.250 0.250 0.250
Sm: 0.500 0.500 0.500

=====

[2]
Here is a geometry-optimized Ac3GaSn2 structure from the Alexandria database. Energies are from GGA-PBE.

Results
Total DFT energy (no corrections) in eV per atom: -4.39
Relative energy among the computed polymorphs in kJ/mol of formula units: 76
Space-group type: C2/c (15)

Cell lengths 6.825, 7.022, 9.275 Å; angles 103.32, 111.59, 90.00 degrees
Sites, in units of the cell vectors:
Sn: 0.243 0.977 0.697
Sn: 0.454 0.477 0.697
Sn: 0.757 0.023 0.303
Sn: 0.546 0.523 0.303
Ac: 0.714 0.876 0.650
Ac: 0.322 0.750 0.000
Ac: 0.936 0.376 0.650
Ac: 0.286 0.124 0.350
Ac: 0.064 0.624 0.350
Ac: 0.678 0.250 0.000
Ga: 0.829 0.750 0.000
Ga: 0.171 0.250 0.000

=====

[3]
Here is a geometry-optimized Ac3Ga4Sn structure from the Alexandria database. Energies are from GGA-PBE.

Results
Total DFT energy (no corrections) in eV per atom: -3.95
Space-group type: Immm (71)

Cell lengths 4.807, 6.401, 9.007 Å; angles 110.82, 105.48, 90.00 degrees
Sites, in units of the cell vectors:
Ga: 0.625 0.822 0.250
Ga: 0.375 0.572 0.750
Ga: 0.625 0.428 0.250
Ga: 0.375 0.178 0.750
Sn: 0.500 0.000 0.000
Ac: 0.000 0.500 0.000
Ac: 0.190 0.190 0.380
Ac: 0.810 0.810 0.620

=====

no.,energy of formation (eV/atom),calculated volume (Å³/f.u.)
1,-0.37,109
2,-0.50,200
3,-0.40,248